Entry from the Open Quantum Materials Database: Pr2Nd2BBr3Cl2 after structural relaxation (GGA-PBE).

a b c (Å): 9.512 9.512 8.460
angles (deg): 103.99 103.99 24.65
Atoms (fractional coordinates):
Pr (0.146, 0.146, 0.087)
Pr (0.854, 0.854, 0.913)
Nd (0.500, 0.500, 0.214)
Nd (0.500, 0.500, 0.786)
B (0.000, 0.000, 0.000)
Br (0.000, 0.000, 0.500)
Br (0.330, 0.330, 0.165)
Br (0.670, 0.670, 0.835)
Cl (0.340, 0.340, 0.671)
Cl (0.660, 0.660, 0.329)

## Properties
Magnetization (μB/f.u.): 0.01
Raw total energy (eV per atom): -4.956